(1)
Al2CrW: PBEsol geometry, SCAN.

## Properties
* DOS at the Fermi energy: 5.03 states/eV per cell
* raw total energy: -207.282 eV/cell
* formation energy: -0.0162 eV/atom
* offset from the most stable computed form: 119 meV per atom

a = 5.2729 Å, b = 7.9868 Å, c = 2.7051 Å
α = 90.00°, β = 90.00°, γ = 90.00°
With the nearest neighbours (Å) after each atom.
Positions (direct):
Al  0.2500  0.2500  0.0000  4 Al 2.64-2.71, 4 Cr 2.75, 4 W 2.75
Al  0.2500  0.7500  0.0000  4 Al 2.64-2.71, 4 Cr 2.75, 4 W 2.75
Al  0.7500  0.2500  0.0000  4 Al 2.64-2.71, 4 Cr 2.75, 4 W 2.75
Al  0.7500  0.7500  0.0000  4 Al 2.64-2.71, 4 Cr 2.75, 4 W 2.75
Cr  0.0000  0.0000  0.5000  2 W 2.64, 2 Cr 2.71, 8 Al 2.75
Cr  0.5000  0.5000  0.5000  2 W 2.64, 2 Cr 2.71, 8 Al 2.75
W  0.0000  0.5000  0.5000  2 Cr 2.64, 2 W 2.71, 8 Al 2.75
W  0.5000  0.0000  0.5000  2 Cr 2.64, 2 W 2.71, 8 Al 2.75

---

(2)
AlCrW: PBEsol geometry, SCAN.

## Properties
* DOS at the Fermi energy: 1.57 states/eV per cell
* raw total energy: -96.078 eV/cell
* formation energy: -0.0844 eV/atom
* offset from the most stable computed form: 0 meV per atom

a = 4.2400 Å, b = 4.2400 Å, c = 2.6469 Å
α = 90.00°, β = 90.00°, γ = 120.00°
With the nearest neighbours (Å) after each atom.
Positions (direct):
Al  0.0000  0.0000  0.0000  3 Cr 2.60, 2 Al 2.65, 6 W 2.69-2.89
Cr  0.3333  0.6667  0.6704  3 W 2.54, 3 Al 2.60, 2 Cr 2.65
W  0.6667  0.3333  0.4184  3 Cr 2.54, 2 W 2.65, 3 Al 2.69

---

(3)
Al2CrW: PBEsol geometry, SCAN.

## Properties
* DOS at the Fermi energy: 3.32 states/eV per cell
* raw total energy: -415.911 eV/cell
* formation energy: -0.1003 eV/atom
* offset from the most stable computed form: 35 meV per atom

a = 6.0169 Å, b = 6.0169 Å, c = 6.0169 Å
α = 90.00°, β = 90.00°, γ = 90.00°
With the nearest neighbours (Å) after each atom.
Positions (direct):
Al  0.0000  0.0000  0.0000  4 Cr 2.61, 4 Al 2.61
Al  0.0000  0.5000  0.5000  4 Cr 2.61, 4 Al 2.61
Al  0.2500  0.2500  0.2500  4 W 2.61, 4 Al 2.61
Al  0.2500  0.7500  0.7500  4 W 2.61, 4 Al 2.61
Al  0.5000  0.0000  0.5000  4 Cr 2.61, 4 Al 2.61
Al  0.5000  0.5000  0.0000  4 Cr 2.61, 4 Al 2.61
Al  0.7500  0.2500  0.7500  4 W 2.61, 4 Al 2.61
Al  0.7500  0.7500  0.2500  4 W 2.61, 4 Al 2.61
Cr  0.2500  0.2500  0.7500  4 W 2.61, 4 Al 2.61
Cr  0.2500  0.7500  0.2500  4 W 2.61, 4 Al 2.61
Cr  0.7500  0.2500  0.2500  4 W 2.61, 4 Al 2.61
Cr  0.7500  0.7500  0.7500  4 W 2.61, 4 Al 2.61
W  0.0000  0.0000  0.5000  4 Cr 2.61, 4 Al 2.61
W  0.0000  0.5000  0.0000  4 Cr 2.61, 4 Al 2.61
W  0.5000  0.0000  0.0000  4 Cr 2.61, 4 Al 2.61
W  0.5000  0.5000  0.5000  4 Cr 2.61, 4 Al 2.61

---

(4)
AlCrW2: PBEsol geometry, SCAN.

## Properties
* DOS at the Fermi energy: 2.23 states/eV per cell
* raw total energy: -164.613 eV/cell
* formation energy: 0.2249 eV/atom

a = 2.7011 Å, b = 2.7011 Å, c = 7.9579 Å
α = 90.00°, β = 90.00°, γ = 90.00°
With the nearest neighbours (Å) after each atom.
Positions (direct):
Al  0.0000  0.0000  0.0000  4 Al 2.70, 8 W 2.80
Cr  0.0000  0.0000  0.5000  4 Cr 2.70, 8 W 2.72
W  0.5000  0.5000  0.2574  4 W 2.70, 4 Cr 2.72, 4 Al 2.80
W  0.5000  0.5000  0.7426  4 W 2.70, 4 Cr 2.72, 4 Al 2.80

---

(5)
Al2CrW: PBEsol geometry, SCAN.

## Properties
* DOS at the Fermi energy: 2.66 states/eV per cell
* raw total energy: -103.587 eV/cell
* formation energy: -0.0028 eV/atom
* offset from the most stable computed form: 133 meV per atom

a = 2.7168 Å, b = 3.9612 Å, c = 5.2889 Å
α = 90.00°, β = 90.00°, γ = 90.00°
With the nearest neighbours (Å) after each atom.
Positions (direct):
Al  0.0000  0.0000  0.2444  4 Al 2.58-2.72, 4 Cr 2.73, 4 W 2.76
Al  0.0000  0.0000  0.7556  4 Al 2.58-2.72, 4 Cr 2.73, 4 W 2.76
Cr  0.5000  0.5000  0.0000  2 W 2.64, 2 Cr 2.72, 8 Al 2.73
W  0.5000  0.5000  0.5000  2 Cr 2.64, 2 W 2.72, 8 Al 2.76

---

(6)
AlCr2W: PBEsol geometry, SCAN.

## Properties
* DOS at the Fermi energy: 4.24 states/eV per cell
* raw total energy: -228.971 eV/cell
* formation energy: -0.0691 eV/atom

a = 2.9666 Å, b = 4.2028 Å, c = 8.3391 Å
α = 90.00°, β = 90.00°, γ = 90.00°
With the nearest neighbours (Å) after each atom.
Positions (direct):
Al  0.0000  0.0000  0.0000  6 Cr 2.58-2.61, 4 W 2.70-2.84
Al  0.5000  0.5000  0.5000  6 Cr 2.58-2.61, 4 W 2.70-2.84
Cr  0.0000  0.0000  0.4823  2 Cr 2.39, 2 W 2.54, 4 Al 2.58
Cr  0.0000  0.5000  0.7574  2 Cr 2.39, 4 W 2.58, 2 Al 2.61
Cr  0.5000  0.0000  0.2574  2 Cr 2.39, 4 W 2.58, 2 Al 2.61
Cr  0.5000  0.5000  0.9823  2 Cr 2.39, 2 W 2.54, 4 Al 2.58
W  0.0000  0.5000  0.2293  6 Cr 2.54-2.58, 4 Al 2.70-2.84
W  0.5000  0.0000  0.7293  6 Cr 2.54-2.58, 4 Al 2.70-2.84

---

(7)
AlCrW: PBEsol geometry, SCAN.

## Properties
* DOS at the Fermi energy: 3.91 states/eV per cell
* raw total energy: -192.059 eV/cell
* formation energy: -0.0684 eV/atom
* offset from the most stable computed form: 16 meV per atom

a = 3.0820 Å, b = 3.0820 Å, c = 8.7446 Å
α = 90.00°, β = 90.00°, γ = 90.00°
With the nearest neighbours (Å) after each atom.
Positions (direct):
Al  0.0000  0.0000  0.0000  5 Cr 2.65-2.87, 5 W 2.72-2.74
Al  0.5000  0.5000  0.5000  5 Cr 2.65-2.87, 5 W 2.72-2.74
Cr  0.0000  0.0000  0.6724  4 W 2.50, 4 Al 2.65
Cr  0.5000  0.5000  0.1724  4 W 2.50, 4 Al 2.65
W  0.0000  0.0000  0.3134  4 Cr 2.50, 5 Al 2.72-2.74
W  0.5000  0.5000  0.8134  4 Cr 2.50, 5 Al 2.72-2.74

---

(8)
AlCrW2: PBEsol geometry, SCAN.

## Properties
* DOS at the Fermi energy: 6.00 states/eV per cell
* raw total energy: -330.312 eV/cell
* formation energy: 0.0891 eV/atom

a = 5.2916 Å, b = 8.5376 Å, c = 2.6684 Å
α = 90.00°, β = 108.24°, γ = 90.00°
With the nearest neighbours (Å) after each atom.
Positions (direct):
Al  0.0000  0.0000  0.0000  4 W 2.64, 2 Cr 2.65, 2 Al 2.67
Al  0.5000  0.5000  0.0000  4 W 2.64, 2 Cr 2.65, 2 Al 2.67
Cr  0.0000  0.5000  0.0000  4 W 2.64, 2 Al 2.65, 2 Cr 2.67
Cr  0.5000  0.0000  0.0000  4 W 2.64, 2 Al 2.65, 2 Cr 2.67
W  0.2500  0.2500  0.5000  2 Cr 2.64, 2 Al 2.64, 4 W 2.65-2.67
W  0.2500  0.7500  0.5000  2 Al 2.64, 2 Cr 2.64, 4 W 2.65-2.67
W  0.7500  0.2500  0.5000  2 Cr 2.64, 2 Al 2.64, 4 W 2.65-2.67
W  0.7500  0.7500  0.5000  2 Cr 2.64, 2 Al 2.64, 4 W 2.65-2.67

---

- Which formula does entry 4 have?
  AlCrW2